*P*
Tb4Y3Th2 | GGA-PBE | relaxed

The structure belongs to space group C2/m (No. 12); the cell edges are 16.470, 5.813 and 6.338 Å and the angles 90.00°, 105.69° and 90.00°. Symmetry generates all atoms from Tb at (0.061, 0.000, 0.238), Tb at (0.229, 0.500, 0.637), Y at (0.000, 0.500, 0.500), Y at (0.124, 0.500, 0.066) and Th at (0.145, 0.000, 0.780).

---

*Q*
Tb4Y3Th2 | GGA-PBE | relaxed

The structure belongs to space group C2/m (No. 12); the cell edges are 18.693, 3.603 and 9.546 Å and the angles 90.00°, 115.67° and 90.00°. Symmetry generates all atoms from Tb at (0.018, 0.000, 0.333), Tb at (0.185, 0.500, 0.329), Y at (0.000, 0.500, 0.000), Y at (0.149, 0.500, 0.671) and Th at (0.168, 0.000, 0.001).

---

Which of them is the most stable? Correct choice: *Q*.

---

*P*
Tb3Y2Th2 | GGA-PBE | relaxed

The structure belongs to space group P-1 (No. 2); the cell edges are 3.506, 5.489 and 12.121 Å and the angles 76.93°, 81.75° and 90.00°. Symmetry generates all atoms from Tb at (0.000, 0.000, 0.000), Tb at (0.223, 0.722, 0.556), Y at (0.143, 0.143, 0.715) and Th at (0.426, 0.426, 0.147).

---

*Q*
Tb3Y2Th2 | GGA-PBE | relaxed

The structure belongs to space group C2/m (No. 12); the cell edges are 17.475, 3.455 and 8.618 Å and the angles 90.00°, 119.14° and 90.00°. Symmetry generates all atoms from Tb at (0.000, 0.000, 0.000), Tb at (0.216, 0.000, 0.134), Y at (0.064, 0.500, 0.720) and Th at (0.152, 0.000, 0.458).

---

Which of them is the most stable? Correct choice: *P*.

---

*P*
TbY6Th2 | GGA-PBE | relaxed

The structure belongs to space group P-6m2 (No. 187); the cell edges are 3.5892, 3.5892 and 26.3615 Å and the angles 90.00°, 90.00° and 120.00°. Symmetry generates all atoms from Tb at (0.0000, 0.0000, 0.0000), Y at (0.0000, 0.0000, 0.2173), Y at (0.0000, 0.0000, 0.4367), Y at (0.3333, 0.6667, 0.1088) and Th at (0.3333, 0.6667, 0.3292).

---

*Q*
TbY6Th2 | GGA-PBE | relaxed

The structure belongs to space group C2/c (No. 15); the cell edges are 13.437, 11.825 and 9.070 Å and the angles 90.00°, 125.05° and 90.00°. Symmetry generates all atoms from Tb at (0.000, 0.079, 0.250), Y at (0.081, 0.398, 0.977), Y at (0.111, 0.172, 0.687), Y at (0.207, 0.098, 0.138) and Th at (0.156, 0.344, 0.390).

---

Which of them is the most stable? Correct choice: *P*.

---

*P*
Tb2Y4Th | GGA-PBE | relaxed

The structure belongs to space group Cm (No. 8); the cell edges are 6.252, 3.610 and 20.235 Å and the angles 90.00°, 95.93° and 90.00°. Symmetry generates all atoms from Tb at (0.000, 0.000, 0.000), Tb at (0.094, 0.000, 0.284), Y at (0.190, 0.000, 0.569), Y at (0.213, 0.500, 0.142), Y at (0.286, 0.000, 0.857), Y at (0.308, 0.500, 0.426) and Th at (0.405, 0.500, 0.713).

---

*Q*
Tb2Y4Th | GGA-PBE | relaxed

The structure belongs to space group R-3m (No. 166, hexagonal axes); the cell edges are 3.5614, 3.5614 and 62.7021 Å and the angles 90.00°, 90.00° and 120.00°. Symmetry generates all atoms from Tb at (0.0000, 0.0000, 0.2349), Y at (0.0000, 0.0000, 0.1433), Y at (0.0000, 0.0000, 0.2890) and Th at (0.0000, 0.0000, 0.0000).

---

Which of them is the most stable? Correct choice: *P*.

---

*P*
Tb2TiTl | GGA-PBE | relaxed

The structure belongs to space group R-3m (No. 166, hexagonal axes); the cell edges are 3.3431, 3.3431 and 34.1178 Å and the angles 90.00°, 90.00° and 120.00°. Symmetry generates all atoms from Tb at (0.0000, 0.0000, 0.0868), Ti at (0.0000, 0.0000, 0.0000) and Tl at (0.0000, 0.0000, 0.5000).

---

*Q*
Tb2TiTl | GGA-PBE | relaxed

The structure belongs to space group P4/mmm (No. 123); the cell edges are 4.832, 4.832 and 4.426 Å and the angles 90.00°, 90.00° and 90.00°. Symmetry generates all atoms from Tb at (0.000, 0.500, 0.000), Ti at (0.000, 0.000, 0.500) and Tl at (0.500, 0.500, 0.500).

---

Which of them is the most stable? Correct choice: *Q*.

---

*P*
Tb2TiTl | GGA-PBE | relaxed

The structure belongs to space group P4/mmm (No. 123); the cell edges are 3.533, 3.533 and 8.412 Å and the angles 90.00°, 90.00° and 90.00°. Symmetry generates all atoms from Tb at (0.000, 0.000, 0.242), Ti at (0.500, 0.500, 0.000) and Tl at (0.500, 0.500, 0.500).

---

*Q*
Tb2TiTl | GGA-PBE | relaxed

The structure belongs to space group Fm-3m (No. 225); the cell edges are 7.487, 7.487 and 7.487 Å and the angles 90.00°, 90.00° and 90.00°. Symmetry generates all atoms from Tb at (0.250, 0.250, 0.250), Ti at (0.000, 0.000, 0.000) and Tl at (0.000, 0.000, 0.500).

---

Which of them is the most stable? Correct choice: *P*.

---

*P*
Tb3Tl4 | GGA-PBE | relaxed

The structure belongs to space group R-3 (No. 148, hexagonal axes); the cell edges are 14.2961, 14.2961 and 6.5348 Å and the angles 90.00°, 90.00° and 120.00°. Symmetry generates all atoms from Tb at (0.0472, 0.8280, 0.2191), Tl at (0.0000, 0.0000, 0.0000), Tl at (0.0000, 0.0000, 0.5000) and Tl at (0.0537, 0.7954, 0.6977).

---

*Q*
Tb3Tl4 | GGA-PBE | relaxed

The structure belongs to space group I-43d (No. 220); the cell edges are 9.301, 9.301 and 9.301 Å and the angles 90.00°, 90.00° and 90.00°. Symmetry generates all atoms from Tb at (0.000, 0.250, 0.875) and Tl at (0.082, 0.418, 0.582).

---

Which of them is the most stable? Correct choice: *P*.

---

*P*
Tb3TmTl | GGA-PBE | relaxed

The structure belongs to space group Pmmn (No. 59, origin choice 2); the cell edges are 5.332, 8.501 and 6.879 Å and the angles 90.00°, 90.00° and 90.00°. Symmetry generates all atoms from Tb at (0.250, 0.056, 0.231), Tb at (0.250, 0.250, 0.709), Tm at (0.250, 0.750, 0.563) and Tl at (0.250, 0.750, 0.990).

---

*Q*
Tb3TmTl | GGA-PBE | relaxed

The structure belongs to space group Cmcm (No. 63); the cell edges are 4.815, 25.212 and 4.811 Å and the angles 90.00°, 90.00° and 90.00°. Symmetry generates all atoms from Tb at (0.000, 0.050, 0.250), Tb at (0.000, 0.250, 0.250), Tb at (0.000, 0.448, 0.250), Tm at (0.000, 0.150, 0.750) and Tl at (0.000, 0.348, 0.750).

---

Which of them is the most stable? Correct choice: *Q*.

---

*P*
Tb3Tm3Tl2 | GGA-PBE | relaxed

The structure belongs to space group Pmmm (No. 47); the cell edges are 4.818, 4.825 and 9.691 Å and the angles 90.00°, 90.00° and 90.00°. Symmetry generates all atoms from Tb at (0.000, 0.000, 0.000), Tb at (0.000, 0.000, 0.500), Tb at (0.500, 0.500, 0.000), Tm at (0.500, 0.000, 0.251), Tm at (0.500, 0.500, 0.500) and Tl at (0.000, 0.500, 0.252).

---

*Q*
Tb3Tm3Tl2 | GGA-PBE | relaxed

The structure belongs to space group Cmcm (No. 63); the cell edges are 5.161, 11.904 and 15.666 Å and the angles 90.00°, 90.00° and 90.00°. Symmetry generates all atoms from Tb at (0.000, 0.038, 0.250), Tb at (0.000, 0.140, 0.529), Tm at (0.000, 0.246, 0.750), Tm at (0.000, 0.460, 0.603) and Tl at (0.000, 0.280, 0.142).

---

Which of them is the most stable? Correct choice: *P*.

---

*P*
Tb2Tm3Tl | GGA-PBE | relaxed

The structure belongs to space group Cmmm (No. 65); the cell edges are 4.814, 15.018 and 4.851 Å and the angles 90.00°, 90.00° and 90.00°. Symmetry generates all atoms from Tb at (0.000, 0.162, 0.000), Tm at (0.000, 0.000, 0.500), Tm at (0.000, 0.331, 0.500) and Tl at (0.000, 0.500, 0.000).

---

*Q*
Tb2Tm3Tl | GGA-PBE | relaxed

The structure belongs to space group Cmc2_1 (No. 36); the cell edges are 9.127, 13.069 and 6.242 Å and the angles 90.00°, 90.00° and 90.00°. Symmetry generates all atoms from Tb at (0.187, 0.067, 0.000), Tm at (0.000, 0.408, 0.789), Tm at (0.191, 0.190, 0.522) and Tl at (0.000, 0.350, 0.269).

---

Which of them is the most stable? Correct choice: *P*.

---

*P*
TbTm5Tl6 | GGA-PBE | relaxed

The structure belongs to space group C2/m (No. 12); the cell edges are 9.843, 11.136 and 6.394 Å and the angles 90.00°, 102.85° and 90.00°. Symmetry generates all atoms from Tb at (0.000, 0.000, 0.000), Tm at (0.000, 0.167, 0.500), Tm at (0.000, 0.335, 0.000), Tm at (0.000, 0.500, 0.500), Tl at (0.249, 0.332, 0.748) and Tl at (0.249, 0.500, 0.254).

---

*Q*
TbTm5Tl6 | GGA-PBE | relaxed

The structure belongs to space group C2/m (No. 12); the cell edges are 9.192, 16.014 and 5.329 Å and the angles 90.00°, 125.29° and 90.00°. Symmetry generates all atoms from Tb at (0.000, 0.000, 0.000), Tm at (0.000, 0.166, 0.500), Tm at (0.000, 0.333, 0.000), Tm at (0.000, 0.500, 0.500), Tl at (0.247, 0.500, 0.246) and Tl at (0.248, 0.332, 0.748).

---

Which of them is the most stable? Correct choice: *Q*.